[1]
Entry from Alexandria: crystalline ZrTi2Au2 at its relaxed geometry (GGA-PBE).

Calculated values
space-group type: No. 127
total DFT energy (no corrections): -6.455 eV per atom
formation energy from the elements: -0.2769 eV/atom
energy above the most stable polymorph in this dataset: 0.000 eV/atom

a = 7.6556 Å, b = 7.6556 Å, c = 3.1992 Å
α = 90.00°, β = 90.00°, γ = 90.00°
Fractional positions:
Au (0.3708, 0.8708, 0.0000)
Au (0.8708, 0.6292, 0.0000)
Au (0.6292, 0.1292, 0.0000)
Au (0.1292, 0.3708, 0.0000)
Ti (0.3303, 0.1697, 0.5000)
Ti (0.1697, 0.6697, 0.5000)
Ti (0.6697, 0.8303, 0.5000)
Ti (0.8303, 0.3303, 0.5000)
Zr (0.5000, 0.5000, 0.0000)
Zr (0.0000, 0.0000, 0.0000)

***

[2]
Entry from Alexandria: crystalline Na2ThPt9 at its relaxed geometry (GGA-PBE).

Calculated values
space-group type: No. 166
total DFT energy (no corrections): -5.933 eV per atom
formation energy from the elements: -0.5645 eV/atom

a = 5.3783 Å, b = 5.3783 Å, c = 9.3949 Å
α = 73.37°, β = 73.37°, γ = 60.00°
Fractional positions:
Pt (0.9178, 0.4144, 0.2534)
Pt (0.5856, 0.5856, 0.7466)
Pt (0.4144, 0.9178, 0.2534)
Pt (0.0822, 0.5856, 0.7466)
Pt (0.3331, 0.3331, 0.0008)
Pt (0.6669, 0.6669, 0.9992)
Pt (0.4144, 0.4144, 0.2534)
Pt (0.5856, 0.0822, 0.7466)
Pt (0.5000, 0.5000, 0.5000)
Na (0.1458, 0.1458, 0.5627)
Na (0.8542, 0.8542, 0.4373)
Th (0.0000, 0.0000, 0.0000)